9
Lattice="7.906 0.000 0.000 -3.953 6.847 0.000 0.000 0.000 3.755" Properties=species:S:1:pos:R:3 comment="Zr2Tl | Alexandria | GGA-PBEsol | optimized geometry" e_form_ev_per_atom=-0.0969 total_energy_ev_per_atom=-7.03 magmom_total_mub_per_fu=0.0 spacegroup=P-62m pbc="T T T"
Zr -1.563 2.707 0.000
Zr -2.876 4.982 1.878
Zr 1.077 1.865 1.878
Zr 3.125 0.000 0.000
Zr 2.390 4.140 0.000
Zr 5.752 0.000 1.878
Tl 0.000 0.000 0.000
Tl 0.000 4.564 1.878
Tl 3.953 2.282 1.878